1.
Entry from Alexandria via LeMat-Bulk: an optimized crystal structure of Tb2ZnGa3Ni4 (PBE).

abc: 4.0405 4.0405 10.0735
angles: 90.00 90.00 90.00
With the nearest neighbours (Å) after each atom.
Fractional coordinates of all 10 atoms:
Tb: 0.0000 0.5000 0.2468  8 Ni 3.08-3.20, 6 Ga 3.10-3.25, 2 Zn 3.25
Tb: 0.5000 0.0000 0.7532  8 Ni 3.08-3.20, 6 Ga 3.10-3.25, 2 Zn 3.25
Zn: 0.0000 0.0000 0.5000  4 Ni 2.45
Ga: 0.0000 0.5000 0.8731  5 Ni 2.37-2.39
Ga: 0.5000 0.0000 0.1269  5 Ni 2.37-2.39
Ga: 0.5000 0.5000 0.5000  4 Ni 2.45
Ni: 0.0000 0.0000 0.0000  4 Ga 2.39
Ni: 0.0000 0.5000 0.6377  3 Ga 2.37-2.45, 2 Zn 2.45
Ni: 0.5000 0.0000 0.3623  3 Ga 2.37-2.45, 2 Zn 2.45
Ni: 0.5000 0.5000 0.0000  4 Ga 2.39

## Properties
N(E_F)	0.90	states/eV per atom
crystal system	tetragonal
DFT formation energy	-0.523	eV/atom
space-group type	No. 115
E	-48.0	eV per formula unit


2.
Entry from Alexandria via LeMat-Bulk: an optimized crystal structure of TbZnGa2Ni (PBE).

abc: 4.1166 4.1166 10.3229
angles: 90.00 90.00 90.00
With the nearest neighbours (Å) after each atom.
Fractional coordinates of all 10 atoms:
Tb: 0.0000 0.0000 0.0000  8 Ga 3.17, 4 Ni 3.30, 4 Zn 3.30
Tb: 0.5000 0.5000 0.5000  8 Ga 3.17, 4 Ni 3.30, 4 Zn 3.30
Zn: 0.0000 0.5000 0.7500  4 Ga 2.45
Zn: 0.5000 0.0000 0.2500  4 Ga 2.45
Ga: 0.0000 0.0000 0.3796  2 Ni 2.45, 2 Zn 2.45, 1 Ga 2.49
Ga: 0.0000 0.0000 0.6204  2 Ni 2.45, 2 Zn 2.45, 1 Ga 2.49
Ga: 0.5000 0.5000 0.1204  2 Ni 2.45, 2 Zn 2.45, 1 Ga 2.49
Ga: 0.5000 0.5000 0.8796  2 Ni 2.45, 2 Zn 2.45, 1 Ga 2.49
Ni: 0.0000 0.5000 0.2500  4 Ga 2.45
Ni: 0.5000 0.0000 0.7500  4 Ga 2.45

## Properties
N(E_F)	0.54	states/eV per atom
crystal system	tetragonal
DFT formation energy	-0.482	eV/atom
space-group type	No. 119
E	-20.1	eV per formula unit


3.
Entry from Alexandria via LeMat-Bulk: an optimized crystal structure of TbZnGa2Ni2 (PBE).

abc: 4.3818 4.3818 5.4623
angles: 90.00 90.00 90.00
With the nearest neighbours (Å) after each atom.
Fractional coordinates of all 6 atoms:
Tb: 0.0000 0.0000 0.0000  2 Zn 2.73
Zn: 0.0000 0.0000 0.5000  4 Ni 2.19
Ga: 0.5000 0.5000 0.2459  4 Ni 2.59, 2 Ga 2.69-2.78
Ga: 0.5000 0.5000 0.7541  4 Ni 2.59, 2 Ga 2.69-2.78
Ni: 0.0000 0.5000 0.5000  2 Zn 2.19
Ni: 0.5000 0.0000 0.5000  2 Zn 2.19

## Properties
N(E_F)	0.61	states/eV per atom
crystal system	tetragonal
DFT formation energy	-0.202	eV/atom
space-group type	No. 123
E	-24.7	eV per formula unit


4.
Entry from Alexandria via LeMat-Bulk: an optimized crystal structure of GaTcNi (PBE).

abc: 2.6989 2.6989 22.8635
angles: 90.00 90.00 90.00
With the nearest neighbours (Å) after each atom.
Fractional coordinates of all 12 atoms:
Ga: 0.0000 0.0000 0.0555  4 Ni 2.51, 5 Ga 2.54-2.70
Ga: 0.0000 0.0000 0.9445  4 Ni 2.51, 5 Ga 2.54-2.70
Ga: 0.5000 0.5000 0.4445  4 Ni 2.51, 5 Ga 2.54-2.70
Ga: 0.5000 0.5000 0.5555  4 Ni 2.51, 5 Ga 2.54-2.70
Tc: 0.0000 0.0000 0.2068  4 Ni 2.64, 8 Tc 2.70-2.75
Tc: 0.0000 0.0000 0.7932  4 Ni 2.64, 8 Tc 2.70-2.75
Tc: 0.5000 0.5000 0.2932  4 Ni 2.64, 8 Tc 2.70-2.75
Tc: 0.5000 0.5000 0.7068  4 Ni 2.64, 8 Tc 2.70-2.75
Ni: 0.0000 0.0000 0.3729  4 Ga 2.51, 4 Tc 2.64, 4 Ni 2.70
Ni: 0.0000 0.0000 0.6271  4 Ga 2.51, 4 Tc 2.64, 4 Ni 2.70
Ni: 0.5000 0.5000 0.1271  4 Ga 2.51, 4 Tc 2.64, 4 Ni 2.70
Ni: 0.5000 0.5000 0.8729  4 Ga 2.51, 4 Tc 2.64, 4 Ni 2.70

## Properties
N(E_F)	0.92	states/eV per atom
energy relative to the lowest polymorph listed for this composition	0.402	eV per formula unit
crystal system	tetragonal
DFT formation energy	-0.097	eV/atom
space-group type	No. 139
E	-19.5	eV per formula unit